Here is an optimized crystal structure of Ac4Pm6Pr from the Alexandria database. Energies are from PBE.

* ΔH_f (0 K): 0.25 eV per atom

Cell: 7.236 7.236 16.600 Å, 90.00 90.00 90.00°
Space group I-42m (No. 121)
One atom of each set of equivalent atoms:
Ac 0.195 0.195 0.319 [8 per cell]
Pm 0.000 0.500 0.000 [4 per cell]
Pm 0.166 0.166 0.101 [8 per cell]
Pr 0.000 0.000 0.500 [2 per cell]

Here is an optimized crystal structure of Ba2OsPt from the Alexandria database. Energies are from PBE.

* ΔH_f (0 K): 0.10 eV per atom
* offset from the most stable computed form: 11.1 kJ per mole of atoms

Cell: 4.562 4.675 14.476 Å, 90.00 90.00 90.00°
Space group Imm2 (No. 44)
One atom of each set of equivalent atoms:
Ba 0.000 0.000 0.000 [2 per cell]
Ba 0.000 0.500 0.258 [2 per cell]
Os 0.000 0.000 0.403 [2 per cell]
Pt 0.000 0.500 0.846 [2 per cell]

What V values result from the calculations? In sequence: 869.09, 308.76 Å³/cell.
What D(E_F) values result from the calculations? In sequence: 34.49, 4.19 states/eV per cell.
What spin magnetization values result from the calculations? In sequence: 0.00, 0.00 μB/atom.